A plane-wave DFT calculation with PBE-GGA was carried out for a geometry-optimized TbDyY2Te6 structure.

```
TbDyY2Te6
1.0
-0.6809 -7.6714 -0.2069
2.5221 -3.9269 -6.1299
6.9386 -4.5086 0.9018
Tb Dy Y Te
1 1 2 6
Direct
0.3232 0.3232 0.0305
0.8232 0.8232 0.5303
0.5090 0.5091 0.4728
0.0091 0.0090 0.9728
0.6032 0.2294 0.2520
0.2294 0.9155 0.2520
0.9154 0.6032 0.2520
0.4164 0.7306 0.7509
0.7306 0.1022 0.7509
0.1022 0.4163 0.7509
```

## Properties
For the final energy, the calculation gives -5.477 eV/atom. The value obtained for the formation energy (no corrections) is -1.38 eV per atom.